This record from OQMD describes a geometry-optimized Co2Pt2O5 structure. The functional is PBE with a Hubbard U.

abc: 3.4702 3.4702 8.3748
angles: 90.00 90.00 90.00
Fractional positions:
Co: 0.0000 0.0000 0.2343
Co: 0.0000 0.0000 0.7657
Pt: 0.5000 0.5000 0.0000
Pt: 0.5000 0.5000 0.5000
O: 0.0000 0.0000 0.0000
O: 0.0000 0.5000 0.3571
O: 0.0000 0.5000 0.6429
O: 0.5000 0.0000 0.3571
O: 0.5000 0.0000 0.6429

Calculated values
Its total magnetic moment is 5.90 μB/cell. The calculation puts the total DFT energy (no corrections) at -5.4097 eV/atom.